## DyHoTlPd2 (GGA-PBE)

Data for a relaxed DyHoTlPd2 crystal.

**Calculated total energy**: -51.51 eV per cell

a = 3.6547 Å, b = 4.1184 Å, c = 15.0684 Å
α = 90.00°, β = 90.00°, γ = 90.00°
Space group Amm2 (No. 38)
Unique sites:
Dy (0.0000, 0.0000, 0.0000)
Ho (0.0000, 0.0000, 0.7311)
Tl (0.5000, 0.0000, 0.3656)
Pd (0.5000, 0.0000, 0.1756)
Pd (0.5000, 0.0000, 0.5564)